The following is a DFT calculation (PBE) of a relaxed TmTh2Tl crystal.

Geometry as POSCAR:
```
TmTh2Tl
1.0
-1.276 -4.522 0.001
4.424 -1.248 -0.920
2.763 1.678 11.009
Tm Th Tl
2 4 2
Direct
0.694 0.750 0.387
0.306 0.250 0.613
0.562 0.250 0.124
0.438 0.750 0.876
0.061 0.750 0.122
0.939 0.250 0.878
0.173 0.250 0.343
0.827 0.750 0.657
```

Computed properties:
The spin magnetization is 0.0000 μB per atom. Its distance to the lowest polymorph of the same formula is 0.034 eV per atom. Its theoretical density is 11.2 g/cm³. The total energy comes out at -5.48 eV/atom.